--- A ---
## Tb3Pm7Tm (PBE)

Data for Tb3Pm7Tm after structural relaxation.

Unit cell a=7.0674 b=5.6386 c=10.0217 alpha=90.00 beta=110.27 gamma=90.00
With the nearest neighbours (Å) after each atom.
Space group P2/m (No. 10)
Symmetry-distinct sites (fractional):
Tb 0.0000 0.0000 0.0000 [1 per cell]  2 Tm 3.53, 10 Pm 3.58-3.85
Tb 0.2796 0.5000 0.4991 [2 per cell]  1 Tb 3.11, 4 Pm 3.38-3.44
Pm 0.0000 0.0000 0.5000 [1 per cell]  4 Tb 3.44
Pm 0.1458 0.5000 0.7918 [2 per cell]  3 Pm 3.26-3.61, 2 Tb 3.38-3.39
Pm 0.3221 0.5000 0.1384 [2 per cell]  5 Pm 3.26-3.61, 2 Tm 3.56, 2 Tb 3.59
Pm 0.4164 0.0000 0.3284 [2 per cell]  3 Pm 3.23-3.34, 1 Tm 3.54, 5 Tb 3.58-3.60
Tm 0.5000 0.0000 0.0000 [1 per cell]  2 Tb 3.53, 10 Pm 3.54-3.87

Output
Spin magnetization = 0.0 μB per cell
Calculated volume = 34.06 Å³/atom
Density = 7.36 Mg/m³

=====

--- B ---
## Tb3Pm7Tm (PBE)

Data for Tb3Pm7Tm after structural relaxation.

Unit cell a=7.1647 b=7.1647 c=8.6857 alpha=90.00 beta=90.00 gamma=120.00
With the nearest neighbours (Å) after each atom.
Space group P3m1 (No. 156)
Symmetry-distinct sites (fractional):
Tb 0.0012 0.5006 0.0000 [3 per cell]  5 Pm 3.52-3.62, 4 Tb 3.57-3.60, 1 Tm 3.58
Pm 0.1674 0.3349 0.6689 [3 per cell]  2 Tb 3.54, 1 Tm 3.54, 8 Pm 3.57-3.62
Pm 0.3347 0.1674 0.3274 [3 per cell]  2 Tb 3.52, 7 Pm 3.54-3.62, 2 Tm 3.58
Pm 0.6667 0.3333 0.6588 [1 per cell]  9 Pm 3.54-3.58, 3 Tb 3.62
Tm 0.3333 0.6667 0.3367 [1 per cell]  9 Pm 3.54-3.58, 3 Tb 3.58

Output
Spin magnetization = 0.0 μB per cell
Calculated volume = 35.10 Å³/atom
Density = 7.14 Mg/m³

=====

Stability, lowest: B

=====

--- A ---
## Tb4Pm2Tm5 (PBE)

Data for Tb4Pm2Tm5 after structural relaxation.

Unit cell a=3.5397 b=8.6762 c=11.7523 alpha=75.97 beta=81.37 gamma=89.99
With the nearest neighbours (Å) after each atom.
Space group P-1 (No. 2)
Symmetry-distinct sites (fractional):
Tb 0.0461 0.3607 0.4078 [2 per cell]  3 Tm 3.51-3.53, 5 Tb 3.54-3.60, 4 Pm 3.57-3.59
Tb 0.3180 0.5462 0.8644 [2 per cell]  5 Tm 3.52-3.57, 6 Tb 3.53-3.54, 1 Pm 3.56
Pm 0.4071 0.2695 0.6836 [2 per cell]  5 Tm 3.53-3.55, 2 Pm 3.54, 5 Tb 3.56-3.59
Tm 0.1367 0.0918 0.2263 [2 per cell]  3 Tb 3.51-3.53, 7 Tm 3.52-3.56, 2 Pm 3.53
Tm 0.2287 0.8202 0.0434 [2 per cell]  7 Tm 3.51-3.54, 3 Tb 3.52-3.57, 2 Pm 3.55
Tm 0.5000 0.0000 0.5000 [1 per cell]  4 Tb 3.52-3.53, 2 Pm 3.53, 6 Tm 3.54-3.56

Output
Spin magnetization = 0.0 μB per cell
Calculated volume = 31.45 Å³/atom
Density = 8.50 Mg/m³

=====

--- B ---
## Tb4Pm2Tm5 (PBE)

Data for Tb4Pm2Tm5 after structural relaxation.

Unit cell a=16.4151 b=6.6172 c=6.6429 alpha=90.00 beta=100.02 gamma=90.00
With the nearest neighbours (Å) after each atom.
Space group C2/m (No. 12)
Symmetry-distinct sites (fractional):
Tb 0.0874 0.0000 0.4045 [4 per cell]  2 Tb 3.30-3.33, 6 Tm 3.59-3.68
Tb 0.2436 0.5000 0.8028 [4 per cell]  4 Tm 3.26-3.48, 1 Tb 3.30, 4 Pm 3.33-3.53
Pm 0.1982 0.5000 0.2938 [4 per cell]  4 Tb 3.33-3.53, 2 Tm 3.37
Tm 0.0000 0.5000 0.5000 [2 per cell]  4 Tm 3.30
Tm 0.0875 0.2393 0.9043 [8 per cell]  4 Tm 3.17-3.45, 2 Tb 3.26-3.48, 1 Pm 3.37

Output
Spin magnetization = 0.0 μB per cell
Calculated volume = 32.30 Å³/atom
Density = 8.27 Mg/m³

=====

Stability, lowest: B